# 1
A plane-wave DFT calculation with PBE was carried out for a geometry-optimized Tl2TcRu structure.

Properties
The value obtained for the electronic total energy is -5.25 eV per atom. Its density of states at the Fermi level is 4.0 states/eV per cell. The calculation puts the formation energy at 3.355 eV/f.u. The energy above the most stable polymorph in this dataset comes out at 446.9 meV/atom.

a = 3.067 Å, b = 4.584 Å, c = 5.407 Å
α = 90.00°, β = 92.70°, γ = 90.00°
Atoms (fractional coordinates):
Tl  0.238  0.000  0.252
Tl  0.762  0.000  0.748
Tc  0.500  0.500  0.000
Ru  0.000  0.500  0.500


# 2
A plane-wave DFT calculation with PBE was carried out for a geometry-optimized Tb2Nd3Pb4 structure.

Properties
The value obtained for the electronic total energy is -4.74 eV per atom. Its density of states at the Fermi level is 5.4 states/eV per cell. The calculation puts the formation energy at -4.281 eV/f.u. The energy above the most stable polymorph in this dataset comes out at 0.0 meV/atom.

a = 8.715 Å, b = 8.715 Å, c = 6.907 Å
α = 104.40°, β = 104.40°, γ = 34.21°
Atoms (fractional coordinates):
Tb  0.166  0.166  0.079
Tb  0.834  0.834  0.921
Nd  0.383  0.383  0.421
Nd  0.500  0.500  0.000
Nd  0.617  0.617  0.579
Pb  0.006  0.006  0.284
Pb  0.254  0.254  0.713
Pb  0.746  0.746  0.287
Pb  0.994  0.994  0.716


# 3
A plane-wave DFT calculation with PBE was carried out for a geometry-optimized AlSnPt6 structure.

Properties
The value obtained for the electronic total energy is -6.05 eV per atom. Its density of states at the Fermi level is 6.0 states/eV per cell. The calculation puts the formation energy at -4.444 eV/f.u.

a = 3.987 Å, b = 3.987 Å, c = 7.996 Å
α = 90.00°, β = 90.00°, γ = 90.00°
Atoms (fractional coordinates):
Al  0.000  0.000  0.000
Sn  0.000  0.000  0.500
Pt  0.000  0.500  0.238
Pt  0.000  0.500  0.762
Pt  0.500  0.000  0.238
Pt  0.500  0.000  0.762
Pt  0.500  0.500  0.000
Pt  0.500  0.500  0.500


# 4
A plane-wave DFT calculation with PBE was carried out for a geometry-optimized ScPt2Se structure.

Properties
The value obtained for the electronic total energy is -5.84 eV per atom. Its density of states at the Fermi level is 3.8 states/eV per cell. The formation energy (no corrections) is -0.361 eV per atom.

a = 8.666 Å, b = 8.666 Å, c = 8.666 Å
α = 20.92°, β = 20.92°, γ = 20.92°
Atoms (fractional coordinates):
Sc  0.000  0.000  0.000
Pt  0.253  0.253  0.253
Pt  0.747  0.747  0.747
Se  0.500  0.500  0.500


# 5
A plane-wave DFT calculation with PBE was carried out for a geometry-optimized Ba2P3Pt12Rh structure.

Properties
The value obtained for the electronic total energy is -5.78 eV per atom. Its density of states at the Fermi level is 12.1 states/eV per cell. The calculation puts the formation energy at -4.181 eV/f.u.

a = 7.965 Å, b = 7.965 Å, c = 7.965 Å
α = 62.94°, β = 62.94°, γ = 62.94°
Atoms (fractional coordinates):
Ba  0.114  0.114  0.114
Ba  0.886  0.886  0.886
P  0.000  0.500  0.500
P  0.500  0.000  0.500
P  0.500  0.500  0.000
Pt  0.129  0.613  0.613
Pt  0.163  0.163  0.591
Pt  0.163  0.591  0.163
Pt  0.387  0.387  0.871
Pt  0.387  0.871  0.387
Pt  0.409  0.837  0.837
Pt  0.591  0.163  0.163
Pt  0.613  0.129  0.613
Pt  0.613  0.613  0.129
Pt  0.837  0.409  0.837
Pt  0.837  0.837  0.409
Pt  0.871  0.387  0.387
Rh  0.500  0.500  0.500


# 6
A plane-wave DFT calculation with PBE was carried out for a geometry-optimized Tb10ErSc6 structure.

Properties
The value obtained for the electronic total energy is -5.09 eV per atom. Its density of states at the Fermi level is 30.9 states/eV per cell. The calculation puts the formation energy at 2.327 eV/f.u.

a = 9.373 Å, b = 9.373 Å, c = 6.632 Å
α = 90.00°, β = 90.00°, γ = 120.00°
Atoms (fractional coordinates):
Tb  0.000  0.281  0.319
Tb  0.000  0.719  0.681
Tb  0.281  0.000  0.319
Tb  0.281  0.281  0.681
Tb  0.333  0.667  0.000
Tb  0.333  0.667  0.500
Tb  0.667  0.333  0.000
Tb  0.667  0.333  0.500
Tb  0.719  0.000  0.681
Tb  0.719  0.719  0.319
Er  0.000  0.000  0.000
Sc  0.000  0.366  0.821
Sc  0.000  0.634  0.179
Sc  0.366  0.000  0.821
Sc  0.366  0.366  0.179
Sc  0.634  0.000  0.179
Sc  0.634  0.634  0.821